Zr2PtPb | PBE | optimized geometry

Computed properties:
The value obtained for the magnetic moment is 0.00 Bohr magnetons per cell. The crystal system is tetragonal. As for the calculated volume: 85.26 Å³/f.u. The calculated formation energy is -0.519 eV/atom. Its calculated density is 11.4 g/cm³.

a = 3.2055 Å, b = 3.2055 Å, c = 8.2977 Å
α = 90.00°, β = 90.00°, γ = 89.98°
With the nearest neighbours (Å) after each atom.
Sites, in units of the cell vectors:
Pt (0.5000, 0.5000, 0.7500)  8 Zr 2.89, 4 Pt 3.21
Zr (0.0000, 0.0000, 0.9670)  4 Pt 2.89, 4 Zr 3.21
Zr (0.0000, 0.0000, 0.5330)  4 Pt 2.89, 4 Zr 3.21
Pb (0.5000, 0.5000, 0.2500)  4 Pb 3.21, 8 Zr 3.26